LiMg2SiPd, optimized geometry, DFT GGA-PBE; total DFT energy (no corrections) = -2.777 eV/atom; density of states at the Fermi level = 1.93 states/eV/cell; uncorrected formation energy = 0.367 eV per atom
1.0
-4.347 -0.400 -1.729
-0.263 -3.890 1.561
-1.750 1.723 4.002
Si Mg Pd Li
1 2 1 1
Cartesian
-3.180 -1.283 1.917 Si
-0.875 0.862 2.001 Mg
-2.174 -0.200 -0.864 Mg
-0.131 -1.945 0.780 Pd
0.000 0.000 0.000 Li